# TlCo2PbF8, relaxed, DFT GGA+U
# - crystal system = monoclinic
# - energy (eV for the cell shown) = -55.6
# - M_tot (μB per formula unit) = 5.4
data_TlCo2PbF8
_chemical_formula_sum 'Tl1 Co2 Pb1 F8'
_cell_length_a 5.2264
_cell_length_b 6.8292
_cell_length_c 5.3380
_cell_angle_alpha 90.00
_cell_angle_beta 90.51
_cell_angle_gamma 90.00
_space_group_name_H-M_alt 'P 1'
_space_group_IT_number 1
loop_
_space_group_symop_operation_xyz
'x,y,z'
loop_
_atom_site_label
_atom_site_type_symbol
_atom_site_fract_x
_atom_site_fract_y
_atom_site_fract_z
_atom_site_occupancy
Tl1 Tl 0.0000 0.0000 0.0000 1
Co1 Co 0.5000 0.2487 0.5000 1
Co2 Co 0.5000 0.7513 0.5000 1
Pb1 Pb 0.0000 0.5000 0.0000 1
F1 F 0.2402 0.2493 0.7709 1
F2 F 0.2402 0.7507 0.7709 1
F3 F 0.3224 0.0000 0.3333 1
F4 F 0.3236 0.5000 0.3347 1
F5 F 0.6764 0.5000 0.6653 1
F6 F 0.6776 0.0000 0.6667 1
F7 F 0.7598 0.2493 0.2291 1
F8 F 0.7598 0.7507 0.2291 1